## one
Below is BeCoB3 after structural relaxation, with properties calculated at the PBE level.

Structure (POSCAR):
```
BeCoB3
1.0
-0.464 -1.665 -2.977
-0.851 -2.853 1.729
-3.303 0.969 -0.027
B Be Co
3 1 1
Direct
0.000 0.000 0.500
0.000 0.500 0.000
0.500 0.000 0.000
0.000 0.000 0.000
0.500 0.500 0.500
```

Summary:
Space group   No. 221
Calculated volume   40.8 Å³/cell

---

## two
Below is BeCoB3 after structural relaxation, with properties calculated at the PBE level.

Structure (POSCAR):
```
BeCoB3
1.0
3.711 0.000 0.000
0.000 3.711 0.000
0.000 0.000 3.711
B Be Co
3 1 1
Direct
0.500 0.000 0.000
0.000 0.000 0.500
0.000 0.500 0.000
0.500 0.500 0.500
0.000 0.000 0.000
```

Summary:
Space group   No. 221
Calculated volume   51.1 Å³/cell

---

Stability check: which of them is most stable? two.

---

## one
Below is Be3CrB after structural relaxation, with properties calculated at the PBE level.

Structure (POSCAR):
```
Be3CrB
1.0
4.079 0.000 0.000
0.000 4.079 0.000
0.000 0.000 4.079
Be B Cr
3 1 1
Direct
0.000 0.000 0.500
0.000 0.500 0.000
0.500 0.000 0.000
0.500 0.500 0.500
0.000 0.000 0.000
```

Summary:
Space group   No. 221
Calculated volume   67.9 Å³/cell

---

## two
Below is Be3CrB after structural relaxation, with properties calculated at the PBE level.

Structure (POSCAR):
```
Be3CrB
1.0
-1.842 -0.987 2.866
2.985 -0.006 1.916
-0.528 3.406 0.834
B Be Cr
1 3 1
Direct
0.000 0.000 0.000
0.000 0.500 0.000
0.500 0.000 0.000
0.000 0.000 0.500
0.500 0.500 0.500
```

Summary:
Space group   No. 221
Calculated volume   44.6 Å³/cell

---

Stability check: which of them is most stable? two.

---

## one
Below is Be2CrB2 after structural relaxation, with properties calculated at the PBE level.

Structure (POSCAR):
```
Be2CrB2
1.0
2.833 -0.182 0.880
-0.091 2.837 0.880
0.096 0.093 4.734
B Cr Be
2 1 2
Direct
0.598 0.598 0.803
0.402 0.402 0.197
0.000 0.000 0.000
0.250 0.750 0.500
0.750 0.250 0.500
```

Summary:
Space group   No. 139
Calculated volume   37.5 Å³/cell

---

## two
Below is Be2CrB2 after structural relaxation, with properties calculated at the PBE level.

Structure (POSCAR):
```
Be2CrB2
1.0
-4.033 1.026 0.011
-0.812 -3.214 2.479
3.830 4.502 7.093
Cr B Be
4 8 8
Direct
0.691 0.500 0.326
0.309 0.000 0.174
0.691 0.000 0.826
0.309 0.500 0.674
0.876 0.500 0.767
0.124 0.500 0.233
0.658 0.000 0.395
0.342 0.000 0.605
0.658 0.500 0.895
0.124 0.000 0.733
0.876 0.000 0.267
0.342 0.500 0.105
0.253 0.251 0.917
0.747 0.249 0.583
0.253 0.249 0.417
0.747 0.251 0.083
0.747 0.749 0.083
0.747 0.751 0.583
0.253 0.749 0.917
0.253 0.751 0.417
```

Summary:
Space group   No. 12
Calculated volume   152.7 Å³/cell

---

Stability check: which of them is most stable? one.

---

## one
Below is Be2CrB2 after structural relaxation, with properties calculated at the PBE level.

Structure (POSCAR):
```
Be2CrB2
1.0
3.995 -0.001 0.006
0.068 4.547 -0.012
0.240 1.846 4.521
Cr Be B
2 4 4
Direct
0.130 0.758 0.274
0.870 0.242 0.726
0.641 0.792 0.610
0.359 0.208 0.390
0.114 0.704 0.811
0.886 0.296 0.189
0.380 0.031 0.851
0.363 0.432 0.654
0.620 0.969 0.149
0.637 0.568 0.346
```

Summary:
Space group   No. 2
Calculated volume   82.2 Å³/cell

---

## two
Below is Be2CrB2 after structural relaxation, with properties calculated at the PBE level.

Structure (POSCAR):
```
Be2CrB2
1.0
3.713 0.000 0.010
0.000 2.883 0.000
-1.764 0.000 7.511
Cr Be B
2 4 4
Direct
0.000 0.000 0.000
0.000 0.500 0.500
0.571 0.500 0.148
0.429 0.500 0.852
0.429 0.000 0.352
0.571 0.000 0.648
0.900 0.000 0.275
0.100 0.000 0.725
0.900 0.500 0.775
0.100 0.500 0.225
```

Summary:
Space group   No. 12
Calculated volume   80.5 Å³/cell

---

## three
Below is Be2CrB2 after structural relaxation, with properties calculated at the PBE level.

Structure (POSCAR):
```
Be2CrB2
1.0
-0.285 4.079 0.591
-3.718 -1.059 -1.579
-1.059 -0.824 4.449
Be B Cr
4 4 2
Direct
0.407 0.173 0.856
0.936 0.269 0.874
0.064 0.731 0.126
0.593 0.827 0.144
0.290 0.628 0.786
0.674 0.165 0.511
0.326 0.835 0.489
0.710 0.372 0.214
0.197 0.291 0.390
0.803 0.709 0.610
```

Summary:
Space group   No. 2
Calculated volume   77.2 Å³/cell

---

## four
Below is Be2CrB2 after structural relaxation, with properties calculated at the PBE level.

Structure (POSCAR):
```
Be2CrB2
1.0
4.467 0.000 0.005
0.000 3.983 0.000
-1.777 0.000 4.591
Be B Cr
4 4 2
Direct
0.207 0.908 0.758
0.707 0.092 0.258
0.805 0.607 0.452
0.305 0.393 0.952
0.501 0.628 0.671
0.901 0.640 0.881
0.001 0.372 0.171
0.401 0.360 0.381
0.216 0.864 0.263
0.716 0.136 0.763
```

Summary:
Space group   No. 7
Calculated volume   81.7 Å³/cell

---

Stability check: which of them is most stable? three.